Hf2MgAlZn | PBE-GGA | optimized geometry

Computed properties:
DOS at the Fermi energy ... 2.85 states/eV/cell
DFT total energy ... -4.54 eV per atom

a = 5.015 Å, b = 5.015 Å, c = 4.834 Å
α = 90.00°, β = 90.00°, γ = 90.00°
Space group P4/mmm (No. 123)
Inequivalent atoms, fractional coordinates:
Hf  0.000  0.500  0.000 [2 per cell]
Mg  0.000  0.000  0.500 [1 per cell]
Al  0.000  0.000  0.000 [1 per cell]
Zn  0.500  0.500  0.500 [1 per cell]